Record 1
GaBrO3: optimized geometry, PBE.

Computed properties:
formation energy from raw total energies	-0.08	eV per atom
calculated density	5.77	Mg/m³

abc: 3.846 3.846 3.846
angles: 90.00 90.00 90.00
Space group Pm-3m (No. 221)
Asymmetric unit:
Ga1 0.000 0.000 0.000 [1 per cell]
Br1 0.500 0.500 0.500 [1 per cell]
O1 0.000 0.000 0.500 [3 per cell]


Record 2
GaBr2O: optimized geometry, PBE.

Computed properties:
formation energy from raw total energies	0.24	eV per atom
calculated density	4.46	Mg/m³
relative energy among the computed polymorphs	106	meV/atom

abc: 6.989 6.989 7.482
angles: 90.00 90.00 90.00
Space group I-42d (No. 122)
Asymmetric unit:
Ga1 0.000 0.000 0.000 [4 per cell]
Br1 0.229 0.250 0.125 [8 per cell]
O1 0.000 0.000 0.500 [4 per cell]


Record 3
Ga3BrO: optimized geometry, PBE.

Computed properties:
formation energy from raw total energies	-0.27	eV per atom
calculated density	4.57	Mg/m³
relative energy among the computed polymorphs	0	meV/atom

abc: 4.805 4.805 4.805
angles: 90.00 90.00 90.00
Space group Pm-3m (No. 221)
Asymmetric unit:
Ga1 0.000 0.000 0.500 [3 per cell]
Br1 0.500 0.500 0.500 [1 per cell]
O1 0.000 0.000 0.000 [1 per cell]


Record 4
GaP2BrO: optimized geometry, PBE.

Computed properties:
formation energy from raw total energies	1.06	eV per atom
calculated density	3.98	Mg/m³
relative energy among the computed polymorphs	630	meV/atom

abc: 4.937 4.937 3.892
angles: 90.00 90.00 90.00
Space group P4/mmm (No. 123)
Asymmetric unit:
Ga1 0.000 0.000 0.000 [1 per cell]
P1 0.000 0.500 0.500 [2 per cell]
Br1 0.500 0.500 0.500 [1 per cell]
O1 0.500 0.500 0.000 [1 per cell]


Record 5
GaP2BrO: optimized geometry, PBE.

Computed properties:
formation energy from raw total energies	0.43	eV per atom
calculated density	4.16	Mg/m³
relative energy among the computed polymorphs	0	meV/atom

abc: 4.975 4.975 3.671
angles: 90.00 90.00 90.00
Space group P4/mmm (No. 123)
Asymmetric unit:
Ga1 0.000 0.000 0.000 [1 per cell]
P1 0.000 0.500 0.000 [2 per cell]
Br1 0.500 0.500 0.500 [1 per cell]
O1 0.000 0.000 0.500 [1 per cell]


Record 6
PaGaBrO4: optimized geometry, PBE.

Computed properties:
formation energy from raw total energies	-2.30	eV per atom
calculated density	5.85	Mg/m³

abc: 12.145 6.224 6.880
angles: 90.00 103.69 90.00
Space group C2/m (No. 12)
Asymmetric unit:
Pa1 0.199 0.000 0.337 [4 per cell]
Ga1 0.128 0.000 0.766 [4 per cell]
Br1 0.025 0.500 0.173 [4 per cell]
O1 0.027 0.000 0.285 [4 per cell]
O2 0.185 0.218 0.623 [8 per cell]
O3 0.190 0.000 0.036 [4 per cell]


Record 7
GaPbBrO2: optimized geometry, PBE.

Computed properties:
formation energy from raw total energies	-1.37	eV per atom
calculated density	5.78	Mg/m³

abc: 7.390 4.079 7.532
angles: 90.00 100.16 90.00
Space group P2_1/m (No. 11)
Asymmetric unit:
Ga1 0.143 0.250 0.078 [2 per cell]
Pb1 0.355 0.750 0.812 [2 per cell]
Br1 0.229 0.250 0.398 [2 per cell]
O1 0.115 0.750 0.007 [2 per cell]
O2 0.359 0.250 0.977 [2 per cell]


Record 8
GaPb2BrO: optimized geometry, PBE.

Computed properties:
formation energy from raw total energies	0.33	eV per atom
calculated density	7.01	Mg/m³

abc: 5.849 5.849 4.016
angles: 90.00 90.00 90.00
Space group P4/mmm (No. 123)
Asymmetric unit:
Ga1 0.000 0.000 0.000 [1 per cell]
Pb1 0.000 0.500 0.500 [2 per cell]
Br1 0.500 0.500 0.500 [1 per cell]
O1 0.500 0.500 0.000 [1 per cell]


Record 9
GaReBrO2: optimized geometry, PBE.

Computed properties:
formation energy from raw total energies	0.43	eV per atom
calculated density	7.35	Mg/m³

abc: 3.776 3.776 5.825
angles: 90.00 90.00 90.00
Space group P4/mmm (No. 123)
Asymmetric unit:
Ga1 0.000 0.000 0.000 [1 per cell]
Re1 0.000 0.000 0.500 [1 per cell]
Br1 0.500 0.500 0.500 [1 per cell]
O1 0.000 0.500 0.000 [2 per cell]


Record 10
Ga2RhBrO: optimized geometry, PBE.

Computed properties:
formation energy from raw total energies	0.19	eV per atom
calculated density	6.26	Mg/m³

abc: 3.995 3.995 5.617
angles: 90.00 90.00 90.00
Space group P4/mmm (No. 123)
Asymmetric unit:
Ga1 0.000 0.500 0.000 [2 per cell]
Rh1 0.000 0.000 0.500 [1 per cell]
Br1 0.500 0.500 0.500 [1 per cell]
O1 0.500 0.500 0.000 [1 per cell]


Record 11
GaS2BrO8: optimized geometry, PBE.

Computed properties:
formation energy from raw total energies	-1.16	eV per atom
calculated density	3.05	Mg/m³

abc: 8.812 5.117 8.533
angles: 90.00 104.51 90.00
Space group C2/m (No. 12)
Asymmetric unit:
Ga1 0.000 0.000 0.000 [2 per cell]
S1 0.198 0.500 0.193 [4 per cell]
Br1 0.000 0.000 0.500 [2 per cell]
O1 0.098 0.264 0.159 [8 per cell]
O2 0.184 0.000 0.902 [4 per cell]
O3 0.233 0.000 0.627 [4 per cell]


Record 12
GaSe2BrO: optimized geometry, PBE.

Computed properties:
formation energy from raw total energies	0.71	eV per atom
calculated density	4.03	Mg/m³
relative energy among the computed polymorphs	574	meV/atom

abc: 5.018 5.018 5.294
angles: 90.00 90.00 90.00
Space group P4/mmm (No. 123)
Asymmetric unit:
Ga1 0.000 0.000 0.000 [1 per cell]
Se1 0.000 0.500 0.000 [2 per cell]
Br1 0.000 0.000 0.500 [1 per cell]
O1 0.500 0.500 0.500 [1 per cell]